Version w
The following is a GGA-PBE calculation of an optimized crystal structure of Tl2ZnInF6, from OQMD.

Geometry as CIF:
```
data_Tl2ZnInF6
_chemical_formula_sum 'Tl4 Zn2 In2 F12'
_symmetry_space_group_name_H-M 'P -1'
_symmetry_Int_Tables_number 2
_symmetry_space_group_name_Hall '-P 1'
_cell_length_a 5.9807
_cell_length_b 5.9834
_cell_length_c 8.4680
_cell_angle_alpha 90.01
_cell_angle_beta 90.00
_cell_angle_gamma 90.03
loop_
_atom_site_label
_atom_site_type_symbol
_atom_site_fract_x
_atom_site_fract_y
_atom_site_fract_z
Tl1 Tl 0.0001 0.0001 0.2501
Tl2 Tl 0.5001 0.5004 0.2500
Zn1 Zn 0.0000 0.5000 0.0000
Zn2 Zn 0.5000 0.0000 0.5000
In1 In 0.0000 0.5000 0.5000
In2 In 0.5000 0.0000 0.0000
F1 F 0.0011 0.5001 0.2393
F2 F 0.2344 0.7433 0.9992
F3 F 0.2434 0.2645 0.9998
F4 F 0.2587 0.2371 0.5004
F5 F 0.2634 0.7583 0.5007
F6 F 0.4992 0.0002 0.2606
```

## Properties
Calculated volume in Å³ per atom: 15.15
Theoretical density in g cm⁻³: 7.70

Version x
The following is a GGA-PBE calculation of an optimized crystal structure of Tl2ZnInF6, from OQMD.

Geometry as CIF:
```
data_Tl2ZnInF6
_chemical_formula_sum 'Tl4 Zn2 In2 F12'
_symmetry_space_group_name_H-M 'C 1 2/m 1'
_symmetry_Int_Tables_number 12
_symmetry_space_group_name_Hall '-C 2y'
_cell_length_a 10.4711
_cell_length_b 6.1113
_cell_length_c 6.0370
_cell_angle_alpha 90.00
_cell_angle_beta 124.99
_cell_angle_gamma 90.00
loop_
_atom_site_label
_atom_site_type_symbol
_atom_site_fract_x
_atom_site_fract_y
_atom_site_fract_z
Tl1 Tl 0.2477 0.0000 0.2473
Zn1 Zn 0.0000 0.5000 0.0000
In1 In 0.0000 0.0000 0.5000
F1 F 0.9996 0.2631 0.2390
F2 F 0.2380 0.5000 0.2382
```

## Properties
Calculated volume in Å³ per atom: 15.82
Theoretical density in g cm⁻³: 7.38

Version y
The following is a GGA-PBE calculation of an optimized crystal structure of Tl2ZnInF6, from OQMD.

Geometry as CIF:
```
data_Tl2ZnInF6
_chemical_formula_sum 'Tl4 Zn2 In2 F12'
_symmetry_space_group_name_H-M 'P 1 21/c 1'
_symmetry_Int_Tables_number 14
_symmetry_space_group_name_Hall '-P 2ybc'
_cell_length_a 6.0415
_cell_length_b 6.0301
_cell_length_c 10.4652
_cell_angle_alpha 90.00
_cell_angle_beta 125.27
_cell_angle_gamma 90.00
loop_
_atom_site_label
_atom_site_type_symbol
_atom_site_fract_x
_atom_site_fract_y
_atom_site_fract_z
Tl1 Tl 0.2494 0.0044 0.2497
Zn1 Zn 0.0000 0.0000 0.5000
In1 In 0.5000 0.0000 0.0000
F1 F 0.2160 0.2500 0.4900
F2 F 0.2400 0.7265 0.9905
F3 F 0.2576 0.0005 0.7380
```

## Properties
Calculated volume in Å³ per atom: 15.56
Theoretical density in g cm⁻³: 7.50

Short version: version w is the least stable of them.

Version w
The following is a GGA-PBE calculation of an optimized crystal structure of IrF8, from OQMD.

Geometry as CIF:
```
data_IrF8
_chemical_formula_sum 'Ir4 F32'
_symmetry_space_group_name_H-M 'C 1 2/c 1'
_symmetry_Int_Tables_number 15
_symmetry_space_group_name_Hall '-C 2yc'
_cell_length_a 10.6261
_cell_length_b 4.6837
_cell_length_c 8.2267
_cell_angle_alpha 90.00
_cell_angle_beta 126.29
_cell_angle_gamma 90.00
loop_
_atom_site_label
_atom_site_type_symbol
_atom_site_fract_x
_atom_site_fract_y
_atom_site_fract_z
Ir1 Ir 0.0000 0.1088 0.2500
F1 F 0.0754 0.2020 0.6813
F2 F 0.0870 0.4162 0.4347
F3 F 0.1600 0.2502 0.2331
F4 F 0.1734 0.0403 0.9950
```

## Properties
Magnetization in μB per atom: 0.002
Calculated volume in Å³ per atom: 9.17
Theoretical density in g cm⁻³: 6.93

Version x
The following is a GGA-PBE calculation of an optimized crystal structure of IrF8, from OQMD.

Geometry as CIF:
```
data_IrF8
_chemical_formula_sum 'Ir3 F24'
_symmetry_space_group_name_H-M 'R -3'
_symmetry_Int_Tables_number 148
_symmetry_space_group_name_Hall '-R 3'
_cell_length_a 6.5212
_cell_length_b 6.5212
_cell_length_c 6.5305
_cell_angle_alpha 90.00
_cell_angle_beta 90.00
_cell_angle_gamma 120.00
loop_
_atom_site_label
_atom_site_type_symbol
_atom_site_fract_x
_atom_site_fract_y
_atom_site_fract_z
Ir1 Ir 0.0000 0.0000 0.0000
F1 F 0.0000 0.0000 0.2956
F2 F 0.0317 0.4125 0.7625
```

## Properties
Magnetization in μB per atom: 0.024
Calculated volume in Å³ per atom: 8.91
Theoretical density in g cm⁻³: 7.13

Short version: version x is the least stable of them.

Version w
The following is a GGA-PBE calculation of an optimized crystal structure of K2LiIrF6, from OQMD.

Geometry as CIF:
```
data_K2LiIrF6
_chemical_formula_sum 'K12 Li6 Ir6 F36'
_symmetry_space_group_name_H-M 'R -3 m'
_symmetry_Int_Tables_number 166
_symmetry_space_group_name_Hall '-R 3 2"'
_cell_length_a 5.6164
_cell_length_b 5.6164
_cell_length_c 28.2533
_cell_angle_alpha 90.00
_cell_angle_beta 90.00
_cell_angle_gamma 120.00
loop_
_atom_site_label
_atom_site_type_symbol
_atom_site_fract_x
_atom_site_fract_y
_atom_site_fract_z
K1 K 0.0000 0.0000 0.1274
K2 K 0.0000 0.0000 0.2864
Li1 Li 0.0000 0.0000 0.4081
Ir1 Ir 0.0000 0.0000 0.0000
Ir2 Ir 0.0000 0.0000 0.5000
F1 F 0.0019 0.5010 0.2920
F2 F 0.0054 0.5027 0.1230
```

## Properties
Magnetization in μB per atom: 0.000
Calculated volume in Å³ per atom: 12.86
Theoretical density in g cm⁻³: 5.05

Version x
The following is a GGA-PBE calculation of an optimized crystal structure of K2LiIrF6, from OQMD.

Geometry as CIF:
```
data_K2LiIrF6
_chemical_formula_sum 'K8 Li4 Ir4 F24'
_symmetry_space_group_name_H-M 'F m -3 m'
_symmetry_Int_Tables_number 225
_symmetry_space_group_name_Hall '-F 4 2 3'
_cell_length_a 7.9426
_cell_length_b 7.9426
_cell_length_c 7.9426
_cell_angle_alpha 90.00
_cell_angle_beta 90.00
_cell_angle_gamma 90.00
loop_
_atom_site_label
_atom_site_type_symbol
_atom_site_fract_x
_atom_site_fract_y
_atom_site_fract_z
K1 K 0.2500 0.2500 0.2500
Li1 Li 0.0000 0.0000 0.0000
Ir1 Ir 0.0000 0.0000 0.5000
F1 F 0.0000 0.0000 0.2466
```

## Properties
Magnetization in μB per atom: 0.000
Calculated volume in Å³ per atom: 12.53
Theoretical density in g cm⁻³: 5.19

Version y
The following is a GGA-PBE calculation of an optimized crystal structure of K2LiIrF6, from OQMD.

Geometry as CIF:
```
data_K2LiIrF6
_chemical_formula_sum 'K6 Li3 Ir3 F18'
_symmetry_space_group_name_H-M 'R -3'
_symmetry_Int_Tables_number 148
_symmetry_space_group_name_Hall '-R 3'
_cell_length_a 5.6274
_cell_length_b 5.6274
_cell_length_c 13.8457
_cell_angle_alpha 90.00
_cell_angle_beta 90.00
_cell_angle_gamma 120.00
loop_
_atom_site_label
_atom_site_type_symbol
_atom_site_fract_x
_atom_site_fract_y
_atom_site_fract_z
K1 K 0.0000 0.0000 0.2501
Li1 Li 0.0000 0.0000 0.0000
Ir1 Ir 0.0000 0.0000 0.5000
F1 F 0.0035 0.5027 0.7488
```

## Properties
Magnetization in μB per atom: 0.000
Calculated volume in Å³ per atom: 12.66
Theoretical density in g cm⁻³: 5.13

Short version: version w is the least stable of them.